1.
Here is crystalline As2RhW at its relaxed geometry from Alexandria. Energies are from PBEsol.

Cell lengths 4.4431, 4.4431, 4.4431 Å; angles 60.00, 60.00, 60.00 degrees
Closest atoms and distances in Å follow each position.
Sites, in units of the cell vectors:
W  0.2500  0.2500  0.2500  4 As 2.72, 4 Rh 2.72
As  0.7500  0.7500  0.7500  4 Rh 2.72, 4 As 2.72
As  0.0000  0.0000  0.0000  4 W 2.72, 4 As 2.72
Rh  0.5000  0.5000  0.5000  4 As 2.72, 4 W 2.72

The calculated density comes out at 11.7 g/cm³. The calculation puts the calculated total energy at -7.60 eV per atom. The calculation puts the polymorph energy (0 for the lowest one) at 543 meV per atom. Its energy of formation from the pure elements is 0.44 eV/atom. The value obtained for the volume is 15.51 Å³ per atom.

---

2.
Here is crystalline AsRhW2 at its relaxed geometry from Alexandria. Energies are from PBEsol.

Cell lengths 3.1917, 3.1917, 5.9455 Å; angles 90.00, 90.00, 90.00 degrees
Closest atoms and distances in Å follow each position.
Sites, in units of the cell vectors:
As  0.0000  0.0000  0.4898  4 W 2.64, 4 Rh 2.78
Rh  0.5000  0.5000  0.7632  4 W 2.63, 4 As 2.78
W  0.5000  0.5000  0.2581  4 As 2.64, 4 W 2.77, 1 Rh 2.94
W  0.0000  0.0000  0.9890  4 Rh 2.63, 4 W 2.77

The calculated density comes out at 15.0 g/cm³. The calculation puts the calculated total energy at -10.09 eV per atom. Its energy of formation from the pure elements is 0.12 eV/atom. The value obtained for the volume is 15.14 Å³ per atom.

---

3.
Here is crystalline AsRhW2 at its relaxed geometry from Alexandria. Energies are from PBEsol.

Cell lengths 2.8164, 4.8589, 4.8589 Å; angles 116.31, 90.00, 90.00 degrees
Closest atoms and distances in Å follow each position.
Sites, in units of the cell vectors:
W  0.0000  0.5000  0.0000  4 W 2.56-2.82, 4 As 2.81, 4 Rh 2.81
W  0.0000  0.0000  0.5000  4 W 2.56-2.82, 4 Rh 2.81, 4 As 2.81
Rh  0.5000  0.5000  0.5000  2 As 2.56, 8 W 2.81, 2 Rh 2.82
As  0.5000  0.0000  0.0000  2 Rh 2.56, 8 W 2.81, 2 As 2.82

The calculated density comes out at 15.2 g/cm³. The calculation puts the calculated total energy at -9.96 eV per atom. Its energy of formation from the pure elements is 0.26 eV/atom. The value obtained for the volume is 14.90 Å³ per atom.

---

4.
Here is crystalline AsRhW2 at its relaxed geometry from Alexandria. Energies are from PBEsol.

Cell lengths 3.7836, 3.7836, 4.9311 Å; angles 112.56, 112.56, 90.00 degrees
Closest atoms and distances in Å follow each position.
Sites, in units of the cell vectors:
W  0.2500  0.7500  0.5000  4 W 2.68, 4 As 2.81, 4 Rh 2.81
W  0.7500  0.2500  0.5000  4 W 2.68, 4 As 2.81, 4 Rh 2.81
Rh  0.0000  0.0000  0.0000  4 As 2.68, 8 W 2.81
As  0.5000  0.5000  0.0000  4 Rh 2.68, 8 W 2.81

The calculated density comes out at 15.3 g/cm³. The calculation puts the calculated total energy at -9.97 eV per atom. Its energy of formation from the pure elements is 0.24 eV/atom. The value obtained for the volume is 14.82 Å³ per atom.

---

5.
Here is crystalline As2RhW at its relaxed geometry from Alexandria. Energies are from PBEsol.

Cell lengths 3.1067, 4.1834, 5.3517 Å; angles 113.01, 106.87, 90.00 degrees
Closest atoms and distances in Å follow each position.
Sites, in units of the cell vectors:
As  0.9935  0.9935  0.9870  4 Rh 2.61, 2 W 2.72
As  0.7669  0.2669  0.5338  2 Rh 2.56, 4 W 2.61
Rh  0.4849  0.4849  0.9699  6 As 2.56-2.61
W  0.2547  0.7547  0.5093  6 As 2.61-2.72

The calculated density comes out at 11.9 g/cm³. The calculation puts the calculated total energy at -7.92 eV per atom. The calculation puts the polymorph energy (0 for the lowest one) at 225 meV per atom. Its energy of formation from the pure elements is 0.12 eV/atom. The value obtained for the volume is 15.19 Å³ per atom.

---

6.
Here is crystalline YAs2Rh at its relaxed geometry from Alexandria. Energies are from PBEsol.

Cell lengths 4.1582, 4.2611, 4.6546 Å; angles 90.00, 98.37, 90.00 degrees
Closest atoms and distances in Å follow each position.
Sites, in units of the cell vectors:
Y  0.2460  0.5000  0.7144  5 As 2.79-3.08, 2 Rh 3.09
As  0.6302  0.5000  0.2591  2 Rh 2.43
As  0.8995  0.0000  0.0174  2 Rh 2.37-2.50
Rh  0.7243  0.0000  0.5090  4 As 2.37-2.50

The calculated density comes out at 7.0 g/cm³. The calculation puts the calculated total energy at -6.95 eV per atom. Its energy of formation from the pure elements is -0.66 eV/atom. The value obtained for the volume is 20.40 Å³ per atom.

---

7.
Here is crystalline YAs2Rh at its relaxed geometry from Alexandria. Energies are from PBEsol.

Cell lengths 3.9687, 3.9687, 5.3316 Å; angles 111.85, 111.85, 90.00 degrees
Closest atoms and distances in Å follow each position.
Sites, in units of the cell vectors:
As  0.0000  0.0000  0.0000  4 Rh 2.81, 4 As 3.01, 4 Y 3.01
As  0.7500  0.2500  0.5000  4 Y 2.81, 4 As 3.01, 4 Rh 3.01
Y  0.2500  0.7500  0.5000  8 As 2.81-3.01, 4 Rh 3.01
Rh  0.5000  0.5000  0.0000  8 As 2.81-3.01, 4 Y 3.01

The calculated density comes out at 7.9 g/cm³. The calculation puts the calculated total energy at -6.90 eV per atom. Its energy of formation from the pure elements is -0.60 eV/atom. The value obtained for the volume is 17.85 Å³ per atom.

---

8.
Here is crystalline YAsRh2 at its relaxed geometry from Alexandria. Energies are from PBEsol.

Cell lengths 3.8760, 3.8760, 5.1597 Å; angles 112.06, 112.06, 90.00 degrees
Closest atoms and distances in Å follow each position.
Sites, in units of the cell vectors:
As  0.2500  0.7500  0.5000  8 Rh 2.74-2.92, 4 Y 2.92
Y  0.5000  0.5000  0.0000  8 Rh 2.74-2.92, 4 As 2.92
Rh  0.7500  0.2500  0.5000  4 As 2.74, 4 Y 2.92, 4 Rh 2.92
Rh  0.0000  0.0000  0.0000  4 Y 2.74, 4 As 2.92, 4 Rh 2.92

The calculated density comes out at 9.3 g/cm³. The calculation puts the calculated total energy at -7.67 eV per atom. Its energy of formation from the pure elements is -0.62 eV/atom. The value obtained for the volume is 16.42 Å³ per atom.

---

9.
Here is crystalline Y2As7Rh12 at its relaxed geometry from Alexandria. Energies are from PBEsol.

Cell lengths 3.8668, 9.8325, 9.8325 Å; angles 120.00, 90.00, 90.00 degrees
Closest atoms and distances in Å follow each position.
Sites, in units of the cell vectors:
As  0.2455  0.7396  0.7849  7 Rh 2.40-2.57
As  0.4961  0.3333  0.6667  6 Rh 2.46
As  0.7445  0.9271  0.5483  7 Rh 2.40-2.57
As  0.2455  0.0454  0.2604  7 Rh 2.40-2.57
As  0.7445  0.6212  0.0729  7 Rh 2.40-2.57
As  0.7445  0.4517  0.3788  7 Rh 2.40-2.57
As  0.2455  0.2151  0.9546  7 Rh 2.40-2.57
Rh  0.7507  0.2188  0.4033  4 As 2.42-2.51
Rh  0.2462  0.2686  0.2206  4 As 2.40-2.57
Rh  0.7507  0.1844  0.7812  4 As 2.42-2.51
Rh  0.2393  0.4822  0.5522  4 As 2.42-2.51
Rh  0.7438  0.8872  0.2853  4 As 2.40-2.57
Rh  0.2462  0.9520  0.7314  4 As 2.40-2.57
Rh  0.7507  0.5967  0.8156  4 As 2.42-2.51
Rh  0.2393  0.0701  0.5178  4 As 2.42-2.51
Rh  0.7438  0.7147  0.6019  4 As 2.40-2.57
Rh  0.2462  0.7794  0.0480  4 As 2.40-2.57
Rh  0.2393  0.4478  0.9299  4 As 2.42-2.51
Rh  0.7438  0.3981  0.1128  4 As 2.40-2.57
Y  0.7486  0.0000  0.0000  6 As 3.05-3.07, 6 Rh 3.11-3.12
Y  0.2413  0.6667  0.3333  6 As 3.05-3.07, 6 Rh 3.11-3.12

The calculated density comes out at 9.9 g/cm³. The calculation puts the calculated total energy at -7.72 eV per atom. Its energy of formation from the pure elements is -0.72 eV/atom. The value obtained for the volume is 15.42 Å³ per atom.

---

10.
Here is crystalline Y4As6Rh7 at its relaxed geometry from Alexandria. Energies are from PBEsol.

Cell lengths 7.1782, 7.1782, 7.1782 Å; angles 109.47, 109.47, 109.47 degrees
Closest atoms and distances in Å follow each position.
Sites, in units of the cell vectors:
Rh  0.5000  0.7500  0.2500  4 As 2.56
Rh  0.7500  0.2500  0.5000  4 As 2.56
Rh  0.2500  0.7500  0.5000  4 As 2.56
Rh  0.2500  0.5000  0.7500  4 As 2.56
Rh  0.5000  0.2500  0.7500  4 As 2.56
Rh  0.0000  0.0000  0.0000  6 As 2.64
Rh  0.7500  0.5000  0.2500  4 As 2.56
As  0.0000  0.6811  0.6811  5 Rh 2.56-2.64
As  0.0000  0.3189  0.3189  5 Rh 2.56-2.64
As  0.3189  0.3189  0.0000  5 Rh 2.56-2.64
As  0.6811  0.0000  0.6811  5 Rh 2.56-2.64
As  0.3189  0.0000  0.3189  5 Rh 2.56-2.64
As  0.6811  0.6811  0.0000  5 Rh 2.56-2.64
Y  0.5000  0.5000  0.5000  6 Rh 2.93, 6 As 2.99
Y  0.0000  0.5000  0.0000  6 Rh 2.93, 6 As 2.99
Y  0.0000  0.0000  0.5000  6 Rh 2.93, 6 As 2.99
Y  0.5000  0.0000  0.0000  6 Rh 2.93, 6 As 2.99

The calculated density comes out at 8.9 g/cm³. The calculation puts the calculated total energy at -7.81 eV per atom. Its energy of formation from the pure elements is -1.05 eV/atom. The value obtained for the volume is 16.75 Å³ per atom.

---

11.
Here is crystalline YAs2Rh at its relaxed geometry from Alexandria. Energies are from PBEsol.

Cell lengths 3.1226, 3.1226, 8.1126 Å; angles 90.00, 90.00, 90.00 degrees
Closest atoms and distances in Å follow each position.
Sites, in units of the cell vectors:
As  0.0000  0.0000  0.9758  4 Y 2.97, 4 As 3.12
As  0.5000  0.5000  0.3212  4 Rh 2.52
Y  0.5000  0.5000  0.7311  4 As 2.97, 4 Rh 3.05, 4 Y 3.12
Rh  0.0000  0.0000  0.4719  4 As 2.52

The calculated density comes out at 7.2 g/cm³. The calculation puts the calculated total energy at -6.75 eV per atom. Its energy of formation from the pure elements is -0.45 eV/atom. The value obtained for the volume is 19.78 Å³ per atom.

---

12.
Here is crystalline YAsRh2 at its relaxed geometry from Alexandria. Energies are from PBEsol.

Cell lengths 3.3467, 3.3467, 5.9977 Å; angles 90.00, 90.00, 90.00 degrees
Closest atoms and distances in Å follow each position.
Sites, in units of the cell vectors:
Rh  0.0000  0.0000  0.7267  1 Rh 2.72, 4 As 2.73, 4 Y 2.88
Rh  0.0000  0.0000  0.2733  1 Rh 2.72, 4 As 2.73, 4 Y 2.88
Y  0.5000  0.5000  0.0000  8 Rh 2.88, 2 As 3.00
As  0.5000  0.5000  0.5000  8 Rh 2.73, 2 Y 3.00

The calculated density comes out at 9.1 g/cm³. The calculation puts the calculated total energy at -7.59 eV per atom. Its energy of formation from the pure elements is -0.54 eV/atom. The value obtained for the volume is 16.79 Å³ per atom.

---

What is the energy of formation from the pure elements in the sixth record?
-0.66 eV/atom

---

Among the records above, which one has the lowest energy of formation from the pure elements?
Y4As6Rh7

---

The lowest calculated density belongs to which entry?
number 6